1.
A relaxed structure of TePt2CS. Source: the Open Quantum Materials Database, functional PBE.

Values from the calculation:
**Spin magnetization**: 0.002 μB/atom
**Symmetry**: P3m1 (156)
**Total energy**: -5.157 eV/atom

```
5
Lattice="3.466 0.000 0.000 -1.733 3.002 0.000 0.000 0.000 9.130" Properties=species:S:1:pos:R:3 pbc="T T T"
Te 0.000 0.000 0.000
Pt 0.000 0.000 5.065
Pt 0.000 2.001 7.312
C 1.733 1.001 6.016
S 0.000 2.001 3.724
```

=====

2.
A relaxed structure of ScPt3C. Source: the Open Quantum Materials Database, functional PBE.

Values from the calculation:
**Spin magnetization**: 0.000 μB/atom
**Symmetry**: Pm-3m (221)
**Total energy**: -6.923 eV/atom

```
5
Lattice="4.243 0.000 0.000 0.000 4.243 0.000 0.000 0.000 4.243" Properties=species:S:1:pos:R:3 pbc="T T T"
Sc 0.000 0.000 0.000
Pt 0.000 2.121 2.121
Pt 2.121 0.000 2.121
Pt 2.121 2.121 0.000
C 2.121 2.121 2.121
```

=====

3.
A relaxed structure of TmSnPtC. Source: the Open Quantum Materials Database, functional PBE.

Values from the calculation:
**Spin magnetization**: 0.000 μB/atom
**Symmetry**: P-3m1 (164)
**Total energy**: -6.026 eV/atom
**Energy above the lowest structure with this stoichiometry**: 164.2 meV/atom

```
8
Lattice="4.530 0.000 0.000 -2.265 3.923 0.000 0.000 0.000 7.856" Properties=species:S:1:pos:R:3 pbc="T T T"
Tm 0.000 2.616 2.476
Tm 2.265 1.308 5.380
Sn 0.000 0.000 0.000
Sn 0.000 0.000 3.928
Pt 0.000 2.616 6.938
Pt 2.265 1.308 0.918
C 0.000 2.616 4.894
C 2.265 1.308 2.962
```

=====

4.
A relaxed structure of TmSnPtC. Source: the Open Quantum Materials Database, functional PBE.

Values from the calculation:
**Spin magnetization**: 0.001 μB/atom
**Symmetry**: P-6m2 (187)
**Total energy**: -6.190 eV/atom
**Energy above the lowest structure with this stoichiometry**: 0.0 meV/atom

```
8
Lattice="4.206 0.000 0.000 -2.103 3.642 0.000 0.000 0.000 10.286" Properties=species:S:1:pos:R:3 pbc="T T T"
Tm 0.000 0.000 0.000
Tm 0.000 2.428 5.143
Sn 2.103 1.214 2.407
Sn 2.103 1.214 7.879
Pt 0.000 0.000 3.678
Pt 0.000 0.000 6.609
C 0.000 2.428 0.655
C 0.000 2.428 9.631
```

=====

5.
A relaxed structure of Tm2Sn2Pt3C. Source: the Open Quantum Materials Database, functional PBE.

Values from the calculation:
**Spin magnetization**: 0.000 μB/atom
**Symmetry**: P3m1 (156)
**Total energy**: -6.060 eV/atom

```
8
Lattice="4.329 0.000 0.000 -2.165 3.749 0.000 0.000 0.000 9.985" Properties=species:S:1:pos:R:3 pbc="T T T"
Tm 0.000 0.000 0.000
Tm 0.000 2.499 5.437
Sn 2.165 1.250 2.913
Sn 2.165 1.250 7.942
Pt 0.000 0.000 3.936
Pt 0.000 0.000 6.847
Pt 0.000 2.499 1.860
C 0.000 2.499 9.877
```

=====

6.
A relaxed structure of TmSnPtC. Source: the Open Quantum Materials Database, functional PBE.

Values from the calculation:
**Spin magnetization**: 0.002 μB/atom
**Symmetry**: P-6m2 (187)
**Total energy**: -5.702 eV/atom
**Energy above the lowest structure with this stoichiometry**: 488.4 meV/atom

```
8
Lattice="4.405 0.000 0.000 -2.202 3.815 0.000 0.000 0.000 8.722" Properties=species:S:1:pos:R:3 pbc="T T T"
Tm 0.000 0.000 0.000
Tm 0.000 2.543 4.361
Sn 2.202 1.272 1.976
Sn 2.202 1.272 6.746
Pt 0.000 0.000 2.944
Pt 0.000 0.000 5.778
C 0.000 2.543 1.776
C 0.000 2.543 6.946
```

=====

7.
A relaxed structure of Tm2Sn2PtC3. Source: the Open Quantum Materials Database, functional PBE.

Values from the calculation:
**Spin magnetization**: 0.001 μB/atom
**Symmetry**: P3m1 (156)
**Total energy**: -6.101 eV/atom

```
8
Lattice="3.469 0.000 0.000 -1.735 3.004 0.000 0.000 0.000 12.200" Properties=species:S:1:pos:R:3 pbc="T T T"
Tm 0.000 0.000 0.000
Tm 0.000 2.003 6.903
Sn 1.735 1.001 2.743
Sn 1.735 1.001 9.524
Pt 0.000 0.000 4.698
C 0.000 0.000 8.101
C 0.000 2.003 1.643
C 0.000 2.003 10.801
```

=====

8.
A relaxed structure of TmSnPtC. Source: the Open Quantum Materials Database, functional PBE.

Values from the calculation:
**Spin magnetization**: 0.004 μB/atom
**Symmetry**: P6_3mc (186)
**Total energy**: -5.863 eV/atom
**Energy above the lowest structure with this stoichiometry**: 327.8 meV/atom

```
8
Lattice="4.801 0.000 0.000 -2.401 4.158 0.000 0.000 0.000 7.401" Properties=species:S:1:pos:R:3 pbc="T T T"
Tm 0.000 2.772 0.000
Tm 2.401 1.386 3.701
Sn 0.000 0.000 1.797
Sn 0.000 0.000 5.497
Pt 0.000 2.772 4.355
Pt 2.401 1.386 0.654
C 0.000 2.772 2.379
C 2.401 1.386 6.080
```

=====

9.
A relaxed structure of U2PtC2. Source: the Open Quantum Materials Database, functional PBE.

Values from the calculation:
**Spin magnetization**: 0.552 μB/atom
**Symmetry**: I4/mmm (139)
**Total energy**: -9.747 eV/atom

```
10
Lattice="3.527 0.000 0.000 0.000 3.527 0.000 0.000 0.000 12.503" Properties=species:S:1:pos:R:3 pbc="T T T"
U 0.000 0.000 1.859
U 0.000 0.000 10.644
U 1.763 1.763 4.393
U 1.763 1.763 8.110
Pt 0.000 0.000 6.252
Pt 1.763 1.763 0.000
C 0.000 0.000 4.137
C 0.000 0.000 8.366
C 1.763 1.763 2.114
C 1.763 1.763 10.389
```

=====

10.
A relaxed structure of PuC. Source: the Open Quantum Materials Database, functional PBE.

Values from the calculation:
**Spin magnetization**: 2.009 μB/atom
**Symmetry**: F-43m (216)
**Total energy**: -11.369 eV/atom
**Energy above the lowest structure with this stoichiometry**: 330.0 meV/atom

```
8
Lattice="5.263 0.000 0.000 0.000 5.263 0.000 0.000 0.000 5.263" Properties=species:S:1:pos:R:3 pbc="T T T"
Pu 0.000 0.000 0.000
Pu 0.000 2.632 2.632
Pu 2.632 0.000 2.632
Pu 2.632 2.632 0.000
C 1.316 1.316 1.316
C 1.316 3.947 3.947
C 3.947 1.316 3.947
C 3.947 3.947 1.316
```

=====

11.
A relaxed structure of PuC. Source: the Open Quantum Materials Database, functional PBE.

Values from the calculation:
**Spin magnetization**: 2.015 μB/atom
**Symmetry**: P6_3/mmc (194)
**Total energy**: -11.699 eV/atom
**Energy above the lowest structure with this stoichiometry**: 0.0 meV/atom

```
4
Lattice="3.389 0.000 0.000 -1.695 2.935 0.000 0.000 0.000 6.009" Properties=species:S:1:pos:R:3 pbc="T T T"
Pu 0.000 1.957 1.502
Pu 1.695 0.978 4.507
C 0.000 0.000 0.000
C 0.000 0.000 3.005
```

=====

12.
A relaxed structure of Pu2C3. Source: the Open Quantum Materials Database, functional PBE.

Values from the calculation:
**Spin magnetization**: 1.803 μB/atom
**Symmetry**: I-43d (220)
**Total energy**: -11.280 eV/atom

```
20
Lattice="-4.060 4.060 4.060 4.060 -4.060 4.060 4.060 4.060 -4.060" Properties=species:S:1:pos:R:3 pbc="T T T"
Pu 2.429 1.631 -1.631
Pu 4.459 -0.399 0.399
Pu 1.631 -1.631 2.429
Pu 1.631 1.631 1.631
Pu -1.631 2.429 1.631
Pu 0.399 4.459 -0.399
Pu -0.399 0.399 4.459
Pu 3.661 3.661 3.661
C 4.060 -2.030 2.350
C 4.060 -2.030 3.740
C 2.350 4.060 -2.030
C 3.740 4.060 -2.030
C 4.060 2.030 0.320
C 4.060 2.030 1.710
C 2.030 0.320 4.060
C 2.030 1.710 4.060
C 0.320 4.060 2.030
C 1.710 4.060 2.030
C -2.030 2.350 4.060
C -2.030 3.740 4.060
```

=====

13.
A relaxed structure of PuC2. Source: the Open Quantum Materials Database, functional PBE.

Values from the calculation:
**Spin magnetization**: 0.904 μB/atom
**Symmetry**: Fd-3m (227)
**Total energy**: -8.633 eV/atom

```
6
Lattice="0.000 4.698 4.698 4.698 0.000 4.698 4.698 4.698 0.000" Properties=species:S:1:pos:R:3 pbc="T T T"
Pu 1.174 1.174 1.174
Pu 8.221 8.221 8.221
C 0.000 0.000 0.000
C 2.349 2.349 0.000
C 2.349 0.000 2.349
C 0.000 2.349 2.349
```